# Pr2CuHPt6

A relaxed Pr2CuHPt6 crystal (PBE-GGA, the Alexandria database).

Results
Total magnetic moment   0.00 Bohr magnetons per cell
DOS at the Fermi energy   0.3831 states/eV/atom
Total DFT energy (no corrections)   -59.9 eV for the cell shown
Crystal system   monoclinic

Cell and atoms, written as CIF:
```
data_Pr2CuHPt6
_space_group_name_H-M_alt 'P 1'
_space_group_IT_number 1
_cell_length_a 5.704
_cell_length_b 5.704
_cell_length_c 7.033
_cell_angle_alpha 113.86
_cell_angle_beta 113.86
_cell_angle_gamma 60.01
loop_
_space_group_symop_operation_xyz
'x,y,z'
loop_
_atom_site_label
_atom_site_type_symbol
_atom_site_fract_x
_atom_site_fract_y
_atom_site_fract_z
_atom_site_occupancy
Pr1 Pr 0.215 0.215 0.147 1
Pr2 Pr 0.785 0.785 0.853 1
Cu1 Cu 0.500 0.500 0.000 1
H1 H 0.000 0.000 0.500 1
Pt1 Pt 0.232 0.232 0.686 1
Pt2 Pt 0.232 0.723 0.686 1
Pt3 Pt 0.277 0.768 0.314 1
Pt4 Pt 0.723 0.232 0.686 1
Pt5 Pt 0.768 0.277 0.314 1
Pt6 Pt 0.768 0.768 0.314 1
```

# PrCuH8Pt2

A relaxed PrCuH8Pt2 crystal (PBE-GGA, the Alexandria database).

Results
Total magnetic moment   0.00 Bohr magnetons per cell
DOS at the Fermi energy   0.2111 states/eV/atom
Total DFT energy (no corrections)   -49.0 eV for the cell shown
Crystal system   trigonal

Cell and atoms, written as CIF:
```
data_PrCuH8Pt2
_space_group_name_H-M_alt 'P 1'
_space_group_IT_number 1
_cell_length_a 6.394
_cell_length_b 6.394
_cell_length_c 6.394
_cell_angle_alpha 43.69
_cell_angle_beta 43.69
_cell_angle_gamma 43.69
loop_
_space_group_symop_operation_xyz
'x,y,z'
loop_
_atom_site_label
_atom_site_type_symbol
_atom_site_fract_x
_atom_site_fract_y
_atom_site_fract_z
_atom_site_occupancy
Pr1 Pr 0.000 0.000 0.000 1
Cu1 Cu 0.500 0.500 0.500 1
H1 H 0.148 0.735 0.432 1
H2 H 0.265 0.568 0.852 1
H3 H 0.322 0.322 0.322 1
H4 H 0.432 0.148 0.735 1
H5 H 0.568 0.852 0.265 1
H6 H 0.678 0.678 0.678 1
H7 H 0.735 0.432 0.148 1
H8 H 0.852 0.265 0.568 1
Pt1 Pt 0.229 0.229 0.229 1
Pt2 Pt 0.771 0.771 0.771 1
```

# PrCuH8Rh4

A relaxed PrCuH8Rh4 crystal (PBE-GGA, the Alexandria database).

Results
Total magnetic moment   0.00 Bohr magnetons per cell
DOS at the Fermi energy   0.2933 states/eV/atom
Total DFT energy (no corrections)   -67.7 eV for the cell shown
Crystal system   trigonal

Cell and atoms, written as CIF:
```
data_PrCuH8Rh4
_space_group_name_H-M_alt 'P 1'
_space_group_IT_number 1
_cell_length_a 5.613
_cell_length_b 5.613
_cell_length_c 5.613
_cell_angle_alpha 61.58
_cell_angle_beta 61.58
_cell_angle_gamma 61.58
loop_
_space_group_symop_operation_xyz
'x,y,z'
loop_
_atom_site_label
_atom_site_type_symbol
_atom_site_fract_x
_atom_site_fract_y
_atom_site_fract_z
_atom_site_occupancy
Pr1 Pr 0.000 0.000 0.000 1
Cu1 Cu 0.610 0.610 0.610 1
H1 H 0.334 0.334 0.870 1
H2 H 0.334 0.870 0.334 1
H3 H 0.379 0.379 0.379 1
H4 H 0.481 0.834 0.834 1
H5 H 0.834 0.481 0.834 1
H6 H 0.834 0.834 0.481 1
H7 H 0.835 0.835 0.835 1
H8 H 0.870 0.334 0.334 1
Rh1 Rh 0.122 0.615 0.615 1
Rh2 Rh 0.249 0.249 0.249 1
Rh3 Rh 0.615 0.122 0.615 1
Rh4 Rh 0.615 0.615 0.122 1
```

# PrCu2H8Rh3

A relaxed PrCu2H8Rh3 crystal (PBE-GGA, the Alexandria database).

Results
Total magnetic moment   0.00 Bohr magnetons per cell
DOS at the Fermi energy   0.1660 states/eV/atom
Total DFT energy (no corrections)   -63.9 eV for the cell shown
Crystal system   trigonal

Cell and atoms, written as CIF:
```
data_PrCu2H8Rh3
_space_group_name_H-M_alt 'P 1'
_space_group_IT_number 1
_cell_length_a 5.577
_cell_length_b 5.577
_cell_length_c 5.577
_cell_angle_alpha 62.76
_cell_angle_beta 62.76
_cell_angle_gamma 62.76
loop_
_space_group_symop_operation_xyz
'x,y,z'
loop_
_atom_site_label
_atom_site_type_symbol
_atom_site_fract_x
_atom_site_fract_y
_atom_site_fract_z
_atom_site_occupancy
Pr1 Pr 0.000 0.000 0.000 1
Cu1 Cu 0.249 0.249 0.249 1
Cu2 Cu 0.614 0.614 0.614 1
H1 H 0.367 0.367 0.842 1
H2 H 0.367 0.842 0.367 1
H3 H 0.380 0.380 0.380 1
H4 H 0.476 0.841 0.841 1
H5 H 0.833 0.833 0.833 1
H6 H 0.841 0.476 0.841 1
H7 H 0.841 0.841 0.476 1
H8 H 0.842 0.367 0.367 1
Rh1 Rh 0.126 0.617 0.617 1
Rh2 Rh 0.617 0.126 0.617 1
Rh3 Rh 0.617 0.617 0.126 1
```

# Pr2CuH12Rh3

A relaxed Pr2CuH12Rh3 crystal (PBE-GGA, the Alexandria database).

Results
Total magnetic moment   0.00 Bohr magnetons per cell
DOS at the Fermi energy   0.3829 states/eV/atom
Total DFT energy (no corrections)   -80.6 eV for the cell shown
Crystal system   trigonal

Cell and atoms, written as CIF:
```
data_Pr2CuH12Rh3
_space_group_name_H-M_alt 'P 1'
_space_group_IT_number 1
_cell_length_a 5.992
_cell_length_b 5.992
_cell_length_c 5.992
_cell_angle_alpha 63.09
_cell_angle_beta 63.09
_cell_angle_gamma 63.09
loop_
_space_group_symop_operation_xyz
'x,y,z'
loop_
_atom_site_label
_atom_site_type_symbol
_atom_site_fract_x
_atom_site_fract_y
_atom_site_fract_z
_atom_site_occupancy
Pr1 Pr 0.124 0.124 0.124 1
Pr2 Pr 0.876 0.876 0.876 1
Cu1 Cu 0.500 0.500 0.500 1
H1 H 0.152 0.600 0.600 1
H2 H 0.167 0.167 0.620 1
H3 H 0.167 0.620 0.167 1
H4 H 0.380 0.833 0.833 1
H5 H 0.400 0.400 0.848 1
H6 H 0.400 0.848 0.400 1
H7 H 0.600 0.152 0.600 1
H8 H 0.600 0.600 0.152 1
H9 H 0.620 0.167 0.167 1
H10 H 0.833 0.380 0.833 1
H11 H 0.833 0.833 0.380 1
H12 H 0.848 0.400 0.400 1
Rh1 Rh 0.000 0.500 0.500 1
Rh2 Rh 0.500 0.000 0.500 1
Rh3 Rh 0.500 0.500 0.000 1
```

# PrCuH6Rh

A relaxed PrCuH6Rh crystal (PBE-GGA, the Alexandria database).

Results
Total magnetic moment   0.00 Bohr magnetons per cell
DOS at the Fermi energy   0.1201 states/eV/atom
Total DFT energy (no corrections)   -39.4 eV for the cell shown
Crystal system   hexagonal

Cell and atoms, written as CIF:
```
data_PrCuH6Rh
_space_group_name_H-M_alt 'P 1'
_space_group_IT_number 1
_cell_length_a 4.636
_cell_length_b 4.636
_cell_length_c 4.383
_cell_angle_alpha 90.00
_cell_angle_beta 90.00
_cell_angle_gamma 120.00
loop_
_space_group_symop_operation_xyz
'x,y,z'
loop_
_atom_site_label
_atom_site_type_symbol
_atom_site_fract_x
_atom_site_fract_y
_atom_site_fract_z
_atom_site_occupancy
Pr1 Pr 0.000 0.000 0.000 1
Cu1 Cu 0.667 0.333 0.500 1
H1 H 0.006 0.503 0.245 1
H2 H 0.006 0.503 0.755 1
H3 H 0.497 0.503 0.245 1
H4 H 0.497 0.503 0.755 1
H5 H 0.497 0.994 0.245 1
H6 H 0.497 0.994 0.755 1
Rh1 Rh 0.333 0.667 0.500 1
```

# Pr2CuH6Ru

A relaxed Pr2CuH6Ru crystal (PBE-GGA, the Alexandria database).

Results
Total magnetic moment   0.00 Bohr magnetons per cell
DOS at the Fermi energy   0.4663 states/eV/atom
Total DFT energy (no corrections)   -46.9 eV for the cell shown
Crystal system   orthorhombic

Cell and atoms, written as CIF:
```
data_Pr2CuH6Ru
_space_group_name_H-M_alt 'P 1'
_space_group_IT_number 1
_cell_length_a 5.339
_cell_length_b 5.339
_cell_length_c 5.339
_cell_angle_alpha 120.84
_cell_angle_beta 120.45
_cell_angle_gamma 88.89
loop_
_space_group_symop_operation_xyz
'x,y,z'
loop_
_atom_site_label
_atom_site_type_symbol
_atom_site_fract_x
_atom_site_fract_y
_atom_site_fract_z
_atom_site_occupancy
Pr1 Pr 0.250 0.250 0.000 1
Pr2 Pr 0.750 0.750 0.000 1
Cu1 Cu 0.500 0.000 0.500 1
H1 H 0.236 0.736 0.500 1
H2 H 0.239 0.262 0.502 1
H3 H 0.239 0.738 0.977 1
H4 H 0.761 0.262 0.023 1
H5 H 0.761 0.738 0.498 1
H6 H 0.764 0.264 0.500 1
Ru1 Ru 0.000 0.500 0.500 1
```

# PrCuSbH

A relaxed PrCuSbH crystal (PBE-GGA, the Alexandria database).

Results
Total magnetic moment   0.00 Bohr magnetons per cell
DOS at the Fermi energy   0.0120 states/eV/atom
Total DFT energy (no corrections)   -19.1 eV for the cell shown
Crystal system   trigonal

Cell and atoms, written as CIF:
```
data_PrCuSbH
_space_group_name_H-M_alt 'P 1'
_space_group_IT_number 1
_cell_length_a 4.376
_cell_length_b 4.376
_cell_length_c 4.471
_cell_angle_alpha 90.00
_cell_angle_beta 90.00
_cell_angle_gamma 120.00
loop_
_space_group_symop_operation_xyz
'x,y,z'
loop_
_atom_site_label
_atom_site_type_symbol
_atom_site_fract_x
_atom_site_fract_y
_atom_site_fract_z
_atom_site_occupancy
Pr1 Pr 0.000 0.000 0.000 1
Cu1 Cu 0.667 0.333 0.587 1
Sb1 Sb 0.333 0.667 0.472 1
H1 H 0.667 0.333 0.961 1
```